# DyYZnSi (PBE, optimized geometry)
data_DyYZnSi
_chemical_formula_sum 'Dy4 Y4 Zn4 Si4'
_symmetry_space_group_name_H-M 'F -4 3 m'
_symmetry_Int_Tables_number 216
_symmetry_space_group_name_Hall 'F -4 2 3'
_cell_length_a 7.043
_cell_length_b 7.043
_cell_length_c 7.043
_cell_angle_alpha 90.00
_cell_angle_beta 90.00
_cell_angle_gamma 90.00
loop_
_atom_site_label
_atom_site_fract_x
_atom_site_fract_y
_atom_site_fract_z
Dy1 0.000 0.000 0.000
Y1 0.000 0.000 0.500
Zn1 0.250 0.250 0.250
Si1 0.250 0.250 0.750
# Energy above the lowest structure with this stoichiometry in eV/atom: 0.118
# Formation energy from raw total energies in eV/atom: -0.469
# M_tot in μB/cell: 0.000
# E_tot in eV per atom: -4.910